Record 1
Crystalline NaCO at its relaxed geometry. Source: the Alexandria database, functional PBE.

Summary:
- Formation energy without anion corrections: -52 meV per atom
- Size of the total moment: 0.00 μB/f.u.

Cell lengths 8.5569, 8.5569, 8.5569 Å; angles 157.33, 155.70, 33.47 degrees
Sites, in units of the cell vectors:
1 Na 0.1623 0.1623 0.0000
2 Na 0.8377 0.8377 0.0000
3 C 0.5000 0.1922 0.6922
4 C 0.5000 0.8078 0.3078
5 O 0.4365 0.4365 0.0000
6 O 0.5635 0.5635 0.0000

---

Record 2
Crystalline Na3SmHo2S6 at its relaxed geometry. Source: the Alexandria database, functional PBE.

Summary:
- Formation energy without anion corrections: -1839 meV per atom
- Size of the total moment: 0.00 μB/f.u.

Cell lengths 6.9352, 6.9352, 7.0733 Å; angles 99.41, 99.41, 120.00 degrees
Sites, in units of the cell vectors:
1 Na 0.0000 0.0000 0.0000
2 Na 0.3336 0.6664 0.0000
3 Na 0.6664 0.3336 0.0000
4 Sm 0.5000 0.5000 0.5000
5 Ho 0.1668 0.8332 0.5000
6 Ho 0.8332 0.1668 0.5000
7 S 0.0845 0.4242 0.2728
8 S 0.2361 0.2361 0.7279
9 S 0.4242 0.0845 0.2728
10 S 0.5758 0.9155 0.7272
11 S 0.7639 0.7639 0.2721
12 S 0.9155 0.5758 0.7272

---

Record 3
Crystalline Th4OsPt2Se at its relaxed geometry. Source: the Alexandria database, functional PBE.

Summary:
- Formation energy without anion corrections: -1043 meV per atom
- Size of the total moment: 0.00 μB/f.u.

Cell lengths 7.2465, 4.1662, 7.3747 Å; angles 90.00, 108.28, 90.00 degrees
Sites, in units of the cell vectors:
1 Th 0.2455 0.0000 0.2332
2 Th 0.2495 0.5000 0.7689
3 Th 0.7505 0.5000 0.2311
4 Th 0.7545 0.0000 0.7668
5 Os 0.0000 0.5000 0.0000
6 Pt 0.5000 0.0000 0.0000
7 Pt 0.5000 0.5000 0.5000
8 Se 0.0000 0.0000 0.5000

---

Record 4
Crystalline Dy2Ni6BPt at its relaxed geometry. Source: the Alexandria database, functional PBE.

Summary:
- Raw total energy: -6.12 eV per atom
- Size of the total moment: 0.00 μB/f.u.

Cell lengths 5.2574, 5.2662, 6.8471 Å; angles 67.68, 67.56, 60.14 degrees
Sites, in units of the cell vectors:
1 Dy 0.2190 0.2208 0.3431
2 Dy 0.7810 0.7792 0.6569
3 Ni 0.2322 0.6904 0.8424
4 Ni 0.2333 0.2309 0.8370
5 Ni 0.3055 0.7696 0.1603
6 Ni 0.6945 0.2304 0.8397
7 Ni 0.7667 0.7691 0.1630
8 Ni 0.7678 0.3096 0.1576
9 B 0.0000 0.0000 0.0000
10 Pt 0.5000 0.5000 0.5000

---

Record 5
Crystalline TlSb2Ir at its relaxed geometry. Source: the Alexandria database, functional PBE.

Summary:
- Formation energy without anion corrections: 515 meV per atom
- Size of the total moment: 0.00 μB/f.u.

Cell lengths 5.3685, 5.3685, 5.3685 Å; angles 129.00, 129.00, 75.01 degrees
Sites, in units of the cell vectors:
1 Tl 0.0000 0.0000 0.0000
2 Sb 0.5000 0.5000 0.0000
3 Sb 0.7500 0.2500 0.5000
4 Ir 0.2500 0.7500 0.5000

---

Record 6
Crystalline Be2RhBr at its relaxed geometry. Source: the Alexandria database, functional PBE.

Summary:
- Formation energy without anion corrections: -166 meV per atom
- Size of the total moment: 0.00 μB/f.u.

Cell lengths 3.1307, 3.2270, 6.6729 Å; angles 90.00, 92.08, 90.00 degrees
Sites, in units of the cell vectors:
1 Be 0.0000 0.0000 0.0000
2 Be 0.0246 0.5000 0.2989
3 Rh 0.5031 0.5000 0.0395
4 Br 0.0405 0.0000 0.5170